A relaxed Dy7YHo12 crystal, computed with PBE.

Output
Total DFT energy (no corrections): -3.9627 eV/atom
Space group: Im-3m, No. 229
M_tot: 0.000 μB/f.u.
Energy above the most stable polymorph in this dataset: 416 meV/atom
Calculated formation energy: 1385 kJ/mol of formula units

Geometry as POSCAR:
```
Dy7YHo12
1.0
-4.747 -4.517 -7.154
0.446 -5.809 7.757
-4.687 8.165 2.340
Y Dy Ho
1 7 12
Direct
0.000 0.000 0.000
0.000 0.500 0.500
0.500 0.500 0.500
0.500 0.500 0.000
0.000 0.000 0.500
0.500 0.000 0.500
0.000 0.500 0.000
0.500 0.000 0.000
0.749 0.251 0.000
0.251 0.749 0.000
0.251 0.251 0.501
0.000 0.251 0.749
0.251 0.501 0.251
0.499 0.749 0.749
0.000 0.749 0.251
0.749 0.000 0.251
0.251 0.000 0.749
0.749 0.749 0.499
0.749 0.499 0.749
0.501 0.251 0.251
```